1.
# Dy5YBi4

An optimized crystal structure of Dy5YBi4 (PBE-GGA, the Alexandria database).

The structure in extended XYZ format:
```
10
Lattice="4.401 0.000 0.000 0.000 7.466 -2.072 -2.201 -2.958 10.911" Properties=species:S:1:pos:R:3 pbc="T T T"
Dy 2.201 3.460 5.336
Dy 2.201 -0.144 6.191
Dy 0.000 4.652 2.648
Dy 2.201 3.733 -1.036
Dy 0.000 1.048 3.503
Y 2.201 0.000 0.000
Bi 0.000 -1.741 7.849
Bi 2.201 2.309 8.208
Bi 2.201 6.250 0.990
Bi 0.000 2.199 0.631
```

## Properties
Density of states at the Fermi level in states/eV/f.u.: 7.36
Space group: C2/m, No. 12
Energy of formation in eV per atom: -0.56

---

2.
# DyY2Bi

An optimized crystal structure of DyY2Bi (PBE-GGA, the Alexandria database).

The structure in extended XYZ format:
```
4
Lattice="-2.147 -0.457 -4.290 4.376 0.175 -2.208 0.366 -4.879 0.337" Properties=species:S:1:pos:R:3 pbc="T T T"
Y 0.183 -2.440 0.168
Y 2.188 0.088 -1.104
Bi -1.073 -0.229 -2.145
Dy 1.297 -2.581 -3.080
```

## Properties
Density of states at the Fermi level in states/eV/f.u.: 6.26
Space group: P4/mmm, No. 123
Energy of formation in eV per atom: -0.34

---

3.
# Dy4YBi5

An optimized crystal structure of Dy4YBi5 (PBE-GGA, the Alexandria database).

The structure in extended XYZ format:
```
10
Lattice="-4.285 -1.118 -0.671 1.765 -4.034 -4.547 2.198 -5.584 10.215" Properties=species:S:1:pos:R:3 pbc="T T T"
Dy 0.750 -6.530 6.086
Dy -0.697 -7.471 1.953
Dy 0.375 -3.266 3.044
Dy -1.072 -4.207 -1.089
Y 0.000 0.000 0.000
Bi -1.954 -2.195 1.189
Bi -1.580 -5.457 4.229
Bi 1.258 -5.280 0.768
Bi 0.883 -2.017 -2.273
Bi 1.632 -8.542 3.808
```

## Properties
Density of states at the Fermi level in states/eV/f.u.: 1.99
Space group: Immm, No. 71
Energy of formation in eV per atom: -0.87

---

4.
# Dy3Y4Bi4

An optimized crystal structure of Dy3Y4Bi4 (PBE-GGA, the Alexandria database).

The structure in extended XYZ format:
```
11
Lattice="4.099 0.000 0.000 0.000 9.328 0.000 -2.049 -4.664 8.884" Properties=species:S:1:pos:R:3 pbc="T T T"
Dy 0.000 0.000 1.815
Dy 2.049 4.664 7.069
Dy 0.000 4.664 0.000
Y 0.000 -1.727 5.937
Y 2.049 2.937 2.947
Y 2.049 6.392 2.947
Y 0.000 1.727 5.937
Bi 0.000 4.664 4.659
Bi 2.049 0.000 4.225
Bi 2.049 7.424 0.000
Bi 2.049 1.905 0.000
```

## Properties
Density of states at the Fermi level in states/eV/f.u.: 12.77
Space group: Immm, No. 71
Energy of formation in eV per atom: -0.56

---

5.
# DyYBi2

An optimized crystal structure of DyYBi2 (PBE-GGA, the Alexandria database).

The structure in extended XYZ format:
```
8
Lattice="4.464 0.000 0.000 -2.232 3.866 0.000 0.000 0.000 14.845" Properties=species:S:1:pos:R:3 pbc="T T T"
Dy 0.000 0.000 7.422
Dy 0.000 0.000 0.000
Y 2.232 1.289 3.711
Y 0.000 2.577 11.133
Bi 0.000 2.577 5.609
Bi 2.232 1.289 13.031
Bi 2.232 1.289 9.236
Bi 0.000 2.577 1.814
```

## Properties
Density of states at the Fermi level in states/eV/f.u.: 0.72
Space group: P6_3/mmc, No. 194
Energy of formation in eV per atom: -0.81

---

6.
# Dy4YBi2

An optimized crystal structure of Dy4YBi2 (PBE-GGA, the Alexandria database).

The structure in extended XYZ format:
```
7
Lattice="5.339 0.000 0.000 0.000 5.339 0.000 -2.669 -2.669 8.387" Properties=species:S:1:pos:R:3 pbc="T T T"
Dy 2.669 2.669 5.339
Dy 0.000 0.000 3.048
Dy 0.000 2.669 0.000
Dy 2.669 0.000 0.000
Y 0.000 0.000 0.000
Bi 2.669 2.669 2.257
Bi 0.000 0.000 6.130
```

## Properties
Density of states at the Fermi level in states/eV/f.u.: 6.16
Space group: I4/mmm, No. 139
Energy of formation in eV per atom: 0.33

---

7.
# DyY4Bi5

An optimized crystal structure of DyY4Bi5 (PBE-GGA, the Alexandria database).

The structure in extended XYZ format:
```
10
Lattice="-0.047 -1.367 4.267 2.759 -3.371 -1.050 11.126 11.618 1.493" Properties=species:S:1:pos:R:3 pbc="T T T"
Dy 0.000 0.000 0.000
Y 9.986 7.400 2.482
Y 8.846 3.181 3.470
Y 4.991 3.699 1.240
Y 3.852 -0.520 2.229
Bi 2.493 1.847 0.620
Bi 1.356 -2.369 1.609
Bi 11.345 5.033 4.091
Bi 7.489 5.550 1.861
Bi 6.348 1.330 2.849
```

## Properties
Density of states at the Fermi level in states/eV/f.u.: 1.22
Space group: I4/mmm, No. 139
Energy of formation in eV per atom: -0.89

---

8.
# Dy3Y4Bi8

An optimized crystal structure of Dy3Y4Bi8 (PBE-GGA, the Alexandria database).

The structure in extended XYZ format:
```
15
Lattice="8.917 -0.124 -0.178 -4.350 7.786 0.145 -4.350 -2.567 7.352" Properties=species:S:1:pos:R:3 pbc="T T T"
Dy 2.284 3.831 -0.017
Dy 2.284 -1.345 3.587
Dy 0.109 2.547 3.659
Y 4.459 -0.062 -0.089
Y -2.175 3.893 0.072
Y 0.000 0.000 0.000
Y -2.175 -1.284 3.676
Bi 2.328 1.269 1.823
Bi -4.350 5.145 1.983
Bi -2.216 1.332 1.914
Bi 0.109 5.133 1.859
Bi 0.109 -0.039 5.459
Bi 2.434 3.762 5.404
Bi -4.350 0.073 5.513
Bi -2.110 3.825 5.495
```

## Properties
Density of states at the Fermi level in states/eV/f.u.: 8.61
Space group: C2/m, No. 12
Energy of formation in eV per atom: -0.70

---

9.
# DyY3Bi3

An optimized crystal structure of DyY3Bi3 (PBE-GGA, the Alexandria database).

The structure in extended XYZ format:
```
14
Lattice="9.115 0.000 0.000 4.558 7.894 0.000 4.558 2.631 6.293" Properties=species:S:1:pos:R:3 pbc="T T T"
Dy 9.115 5.263 6.292
Dy 9.115 5.263 0.001
Y 10.280 8.493 4.743
Y 11.330 2.639 4.743
Y 5.736 4.656 4.743
Y 12.495 5.869 1.550
Y 6.900 7.886 1.550
Y 7.951 2.033 1.550
Bi 6.324 4.807 1.588
Bi 10.906 3.073 1.588
Bi 10.116 7.908 1.588
Bi 8.115 2.617 4.705
Bi 7.325 7.452 4.705
Bi 11.907 5.719 4.705
```

## Properties
Density of states at the Fermi level in states/eV/f.u.: 5.46
Space group: R-3, No. 148
Energy of formation in eV per atom: -0.69

---

10.
# DyY2Bi

An optimized crystal structure of DyY2Bi (PBE-GGA, the Alexandria database).

The structure in extended XYZ format:
```
4
Lattice="4.112 0.000 0.000 0.000 4.112 0.000 0.000 0.000 7.155" Properties=species:S:1:pos:R:3 pbc="T T T"
Y 0.000 0.000 5.254
Y 0.000 0.000 1.901
Bi 2.056 2.056 3.578
Dy 2.056 2.056 0.000
```

## Properties
Density of states at the Fermi level in states/eV/f.u.: 5.95
Space group: P4/mmm, No. 123
Energy of formation in eV per atom: -0.36

---

11.
# DyY4Bi5

An optimized crystal structure of DyY4Bi5 (PBE-GGA, the Alexandria database).

The structure in extended XYZ format:
```
10
Lattice="4.400 0.000 -0.849 -0.326 6.095 -1.692 0.005 0.000 11.855" Properties=species:S:1:pos:R:3 pbc="T T T"
Dy 0.000 0.000 0.000
Y 1.634 2.438 8.468
Y 3.262 4.877 5.082
Y 0.816 1.219 4.232
Y 2.445 3.657 0.847
Bi 2.607 0.608 1.687
Bi 3.425 1.828 5.926
Bi 0.654 4.267 3.388
Bi -0.163 3.048 -0.846
Bi 1.472 5.487 7.628
```

## Properties
Density of states at the Fermi level in states/eV/f.u.: 1.97
Space group: Immm, No. 71
Energy of formation in eV per atom: -0.89

---

12.
# DyY4Bi2

An optimized crystal structure of DyY4Bi2 (PBE-GGA, the Alexandria database).

The structure in extended XYZ format:
```
7
Lattice="5.339 0.000 0.000 0.000 5.339 0.000 -2.669 -2.669 8.399" Properties=species:S:1:pos:R:3 pbc="T T T"
Dy 0.000 0.000 0.000
Y 2.669 2.669 5.341
Y 0.000 0.000 3.058
Y 0.000 2.669 0.000
Y 2.669 0.000 0.000
Bi 2.669 2.669 2.258
Bi 0.000 0.000 6.141
```

## Properties
Density of states at the Fermi level in states/eV/f.u.: 6.44
Space group: I4/mmm, No. 139
Energy of formation in eV per atom: 0.27

---

Number 1: electronic total energy -5.06 eV/atom. Number 2: electronic total energy -5.69 eV/atom. Number 3: electronic total energy -5.30 eV/atom. Number 4: electronic total energy -5.57 eV/atom. Number 5: electronic total energy -5.51 eV/atom. Number 6: electronic total energy -4.33 eV/atom. Number 7: electronic total energy -5.88 eV/atom. Number 8: electronic total energy -5.41 eV/atom. Number 9: electronic total energy -5.78 eV/atom. Number 10: electronic total energy -5.71 eV/atom. Number 11: electronic total energy -5.88 eV/atom. Number 12: electronic total energy -5.19 eV/atom.